[1]
Entry from the Alexandria database: Nd2Er3In7 after structural relaxation (PBE).

For the electronic total energy, the calculation gives -89.598 eV/cell. As for the total magnetic moment: 0.0 μB/f.u. The energy of formation is -0.200 eV/atom. As for the density of states at the Fermi level: 0.76 states/eV/atom.

The structure belongs to space group Cmmm (No. 65); the cell edges are 5.185, 25.742 and 5.319 Å and the angles 90.00°, 90.00° and 90.00°. Symmetry generates all atoms from Nd at (0.000, 0.147, 0.000), Er at (0.000, 0.352, 0.500), Er at (0.000, 0.500, 0.500), In at (0.000, 0.000, 0.000), In at (0.000, 0.074, 0.500), In at (0.000, 0.278, 0.000) and In at (0.000, 0.430, 0.000).

[2]
Entry from the Alexandria database: Nd2ErIn2 after structural relaxation (PBE).

For the electronic total energy, the calculation gives -42.908 eV/cell. As for the total magnetic moment: 0.0 μB/f.u. The energy of formation is -0.376 eV/atom. As for the density of states at the Fermi level: 0.99 states/eV/atom.

The structure belongs to space group Immm (No. 71); the cell edges are 5.010, 7.027 and 8.547 Å and the angles 90.00°, 90.00° and 90.00°. Symmetry generates all atoms from Nd at (0.000, 0.000, 0.193), Er at (0.000, 0.500, 0.000) and In at (0.000, 0.287, 0.500).

- Number 1 is which compound?
  Nd2Er3In7

- What is the formula in the first record?
  Nd2Er3In7